VASP calculation (SCAN) on Cs2HgBiF6 at its PBEsol-relaxed geometry.

Computed properties:
Symmetry: No. 225

abc: 6.758 6.758 6.758
angles: 60.00 60.00 60.00
Fractional positions:
Cs (0.750, 0.750, 0.750)
Cs (0.250, 0.250, 0.250)
F (0.234, 0.234, 0.766)
F (0.766, 0.234, 0.234)
F (0.234, 0.766, 0.766)
F (0.766, 0.766, 0.234)
F (0.234, 0.766, 0.234)
F (0.766, 0.234, 0.766)
Bi (0.000, 0.000, 0.000)
Hg (0.500, 0.500, 0.500)

VASP calculation (SCAN) on Al2Ni at its PBEsol-relaxed geometry.

Computed properties:
Formation energy from the elements in eV/atom: -0.4169
Symmetry: No. 12

abc: 2.831 5.250 5.784
angles: 105.10 90.00 105.64
Fractional positions:
Ni (0.359, 0.718, 0.463)
Ni (0.641, 0.282, 0.537)
Al (0.700, 0.399, 0.161)
Al (0.300, 0.601, 0.839)
Al (0.020, 0.039, 0.765)
Al (0.980, 0.961, 0.235)

VASP calculation (SCAN) on LaCdCu2 at its PBEsol-relaxed geometry.

Computed properties:
Formation energy from the elements in eV/atom: -0.0504
Symmetry: No. 99

abc: 3.206 3.206 7.266
angles: 90.00 90.00 90.00
Fractional positions:
Cu (0.500, 0.500, 0.185)
Cu (0.000, 0.000, 0.034)
La (0.000, 0.000, 0.465)
Cd (0.500, 0.500, 0.816)

VASP calculation (SCAN) on ZnSiNO2 at its PBEsol-relaxed geometry.

Computed properties:
Symmetry: No. 123

abc: 3.768 3.850 3.850
angles: 90.00 90.00 90.00
Each line ends with the local moment (μB).
Fractional positions:
N (0.500, 0.000, 0.000)  1.09
O (0.000, 0.000, 0.500)  0.36
O (0.000, 0.500, 0.000)  0.36
Si (0.500, 0.500, 0.500)  0.03
Zn (0.000, 0.000, 0.000)  0.13

no.,calculated total energy (Ha/atom)
1,-0.979
2,-0.403
3,-0.957
4,-0.310